1.
This record from the Alexandria database describes an optimized crystal structure of Cs2PaSO6. The functional is PBE-GGA.

Cell and atoms, written as CIF:
```
data_Cs2PaSO6
_chemical_formula_sum 'Cs4 Pa2 S2 O12'
_symmetry_space_group_name_H-M 'I 4/m m m'
_symmetry_Int_Tables_number 139
_symmetry_space_group_name_Hall '-I 4 2'
_cell_length_a 5.675
_cell_length_b 5.675
_cell_length_c 12.199
_cell_angle_alpha 90.00
_cell_angle_beta 90.00
_cell_angle_gamma 90.00
loop_
_atom_site_label
_atom_site_fract_x
_atom_site_fract_y
_atom_site_fract_z
_atom_site_occupancy
Cs1 0.000 0.500 0.250 1
Pa1 0.000 0.000 0.000 1
S1 0.000 0.000 0.500 1
O1 0.000 0.000 0.160 1
O2 0.207 0.207 0.500 1
```

Calculated values
* E: -127.836 eV per cell
* formation energy without anion corrections: -1.88 eV per atom
* crystal system: tetragonal
* Fermi-level density of states: 6.6 states/eV per cell

2.
This record from the Alexandria database describes an optimized crystal structure of CsPaSb2O7. The functional is PBE-GGA.

Cell and atoms, written as CIF:
```
data_CsPaSb2O7
_chemical_formula_sum 'Cs1 Pa1 Sb2 O7'
_symmetry_space_group_name_H-M 'P 4/m m m'
_symmetry_Int_Tables_number 123
_symmetry_space_group_name_Hall '-P 4 2'
_cell_length_a 3.995
_cell_length_b 3.995
_cell_length_c 11.570
_cell_angle_alpha 90.00
_cell_angle_beta 90.00
_cell_angle_gamma 90.00
loop_
_atom_site_label
_atom_site_fract_x
_atom_site_fract_y
_atom_site_fract_z
_atom_site_occupancy
Cs1 0.000 0.000 0.000 1
Pa1 0.000 0.000 0.500 1
Sb1 0.500 0.500 0.305 1
O1 0.000 0.500 0.359 1
O2 0.500 0.500 0.143 1
O3 0.500 0.500 0.500 1
```

Calculated values
* E: -73.130 eV per cell
* formation energy without anion corrections: -1.80 eV per atom
* crystal system: tetragonal
* Fermi-level density of states: 5.9 states/eV per cell

3.
This record from the Alexandria database describes an optimized crystal structure of CsPa2SbO8. The functional is PBE-GGA.

Cell and atoms, written as CIF:
```
data_CsPa2SbO8
_chemical_formula_sum 'Cs2 Pa4 Sb2 O16'
_symmetry_space_group_name_H-M 'C 1 2/m 1'
_symmetry_Int_Tables_number 12
_cell_length_a 9.131
_cell_length_b 6.717
_cell_length_c 7.908
_cell_angle_alpha 90.00
_cell_angle_beta 105.50
_cell_angle_gamma 90.00
loop_
_symmetry_equiv_pos_as_xyz
'x,y,z'
'-x,-y,-z'
'-x,y,-z'
'x,-y,z'
'x+1/2,y+1/2,z'
'-x+1/2,-y+1/2,-z'
'-x+1/2,y+1/2,-z'
'x+1/2,-y+1/2,z'
loop_
_atom_site_label
_atom_site_fract_x
_atom_site_fract_y
_atom_site_fract_z
_atom_site_occupancy
Cs1 0.000 0.000 0.000 1
Pa1 0.060 0.500 0.234 1
Sb1 0.000 0.000 0.500 1
O1 0.013 0.218 0.328 1
O2 0.136 0.500 0.990 1
O3 0.226 0.000 0.598 1
```

Calculated values
* E: -189.070 eV per cell
* formation energy without anion corrections: -2.58 eV per atom
* crystal system: monoclinic
* Fermi-level density of states: 0.0 states/eV per cell

Q: Which of these has the highest E?
A: CsPaSb2O7

Q: What is the Fermi-level density of states in the first record?
A: 6.6 states/eV per cell